[1]
This record from Alexandria via LeMat-Bulk describes an optimized crystal structure of Pa2ZnCo3. The functional is PBE.

total magnetic moment = 0.0 μB/cell
energy relative to the elements = -0.299 eV per atom
ρ = 12.7 Mg/m³
polymorph energy (0 for the lowest one) = 0 meV/atom
VASP energy = -7.2300 eV/atom

Cell lengths 5.2265, 5.2265, 7.7840 Å; angles 90.00, 90.00, 120.00 degrees
Space group P6_3/mmc (No. 194)
One atom of each set of equivalent atoms:
Pa (0.3333, 0.6667, 0.0609) x4
Zn (0.0000, 0.0000, 0.0000) x2
Co (0.1695, 0.3391, 0.7500) x6

=====

[2]
This record from Alexandria via LeMat-Bulk describes an optimized crystal structure of YHoInPb. The functional is PBE.

total magnetic moment = 0.0 μB/cell
energy relative to the elements = -0.408 eV per atom
ρ = 8.7 Mg/m³
polymorph energy (0 for the lowest one) = 43 meV/atom
VASP energy = -4.7806 eV/atom

Cell lengths 7.6167, 7.6167, 7.6167 Å; angles 90.00, 90.00, 90.00 degrees
Space group F-43m (No. 216)
One atom of each set of equivalent atoms:
Y (0.0000, 0.0000, 0.0000) x4
Ho (0.0000, 0.0000, 0.5000) x4
In (0.2500, 0.2500, 0.7500) x4
Pb (0.2500, 0.2500, 0.2500) x4

=====

[3]
This record from Alexandria via LeMat-Bulk describes an optimized crystal structure of Rb8Au3F4. The functional is PBE.

total magnetic moment = 1.1 μB/cell
ρ = 4.2 Mg/m³
formation energy without anion corrections = -135.8 kJ per mole of atoms
VASP energy = -3.0784 eV/atom

Cell lengths 12.8593, 12.7881, 8.9892 Å; angles 90.00, 133.06, 90.00 degrees
Space group C2/m (No. 12)
One atom of each set of equivalent atoms:
Rb (0.0000, 0.2331, 0.0000) x4
Rb (0.0000, 0.2369, 0.5000) x4
Rb (0.1923, 0.0000, 0.9312) x4
Rb (0.2326, 0.0000, 0.4775) x4
Au (0.0000, 0.5000, 0.0000) x2
Au (0.2500, 0.2500, 0.0000) x4
F (0.0000, 0.0000, 0.0000) x2
F (0.0000, 0.0000, 0.5000) x2
F (0.2500, 0.2500, 0.5000) x4

=====

[4]
This record from Alexandria via LeMat-Bulk describes an optimized crystal structure of Sm3Tl2Pd2. The functional is PBE.

total magnetic moment = 0.0 μB/cell
energy relative to the elements = -0.622 eV per atom
ρ = 9.9 Mg/m³
VASP energy = -4.8043 eV/atom

Cell lengths 4.0176, 23.4688, 3.8148 Å; angles 90.00, 90.00, 90.00 degrees
Space group Cmmm (No. 65)
One atom of each set of equivalent atoms:
Sm (0.0000, 0.0000, 0.0000) x2
Sm (0.0000, 0.1713, 0.0000) x4
Tl (0.0000, 0.4166, 0.5000) x4
Pd (0.0000, 0.2895, 0.5000) x4

=====

[5]
This record from Alexandria via LeMat-Bulk describes an optimized crystal structure of TiZn16. The functional is PBE.

total magnetic moment = 0.0 μB/cell
energy relative to the elements = -0.050 eV per atom
ρ = 7.1 Mg/m³
VASP energy = -1.7137 eV/atom

Cell lengths 7.7427, 11.3599, 11.7166 Å; angles 90.00, 90.00, 90.00 degrees
Space group Cmcm (No. 63)
One atom of each set of equivalent atoms:
Ti (0.0000, 0.0473, 0.2500) x4
Zn (0.0000, 0.0000, 0.0000) x4
Zn (0.0000, 0.1768, 0.6410) x8
Zn (0.0000, 0.2899, 0.2500) x4
Zn (0.0000, 0.3817, 0.5303) x8
Zn (0.1655, 0.3565, 0.7500) x8
Zn (0.1678, 0.1863, 0.0702) x16
Zn (0.2074, 0.4470, 0.1351) x16

=====

[6]
This record from Alexandria via LeMat-Bulk describes an optimized crystal structure of LiPrZnRu. The functional is PBE.

total magnetic moment = 0.0 μB/cell
energy relative to the elements = -0.028 eV per atom
ρ = 7.0 Mg/m³
VASP energy = -4.3389 eV/atom

Cell lengths 6.6910, 6.6910, 6.6910 Å; angles 90.00, 90.00, 90.00 degrees
Space group F-43m (No. 216)
One atom of each set of equivalent atoms:
Li (0.0000, 0.0000, 0.0000) x4
Pr (0.2500, 0.2500, 0.2500) x4
Zn (0.2500, 0.2500, 0.7500) x4
Ru (0.0000, 0.0000, 0.5000) x4

=====

[7]
This record from Alexandria via LeMat-Bulk describes an optimized crystal structure of AlIn2O. The functional is PBE.

total magnetic moment = 0.0 μB/cell
ρ = 5.2 Mg/m³
formation energy without anion corrections = -73.4 kJ per mole of atoms
polymorph energy (0 for the lowest one) = 215 meV/atom
VASP energy = -4.3050 eV/atom

Cell lengths 4.8490, 6.2047, 6.3566 Å; angles 83.19, 72.63, 71.23 degrees
Space group P1 (No. 1)
One atom of each set of equivalent atoms:
Al (0.0000, 0.0000, 0.0000) x1
Al (0.3980, 0.1398, 0.1192) x1
In (0.2101, 0.7860, 0.5589) x1
In (0.5314, 0.1603, 0.5490) x1
In (0.7429, 0.5677, 0.9818) x1
In (0.8901, 0.4907, 0.4492) x1
O (0.2047, 0.2146, 0.9016) x1
O (0.2226, 0.9098, 0.1965) x1

=====

[8]
This record from Alexandria via LeMat-Bulk describes an optimized crystal structure of Dy3TlS2. The functional is PBE.

total magnetic moment = 0.0 μB/cell
ρ = 8.6 Mg/m³
formation energy without anion corrections = -117.3 kJ per mole of atoms
VASP energy = -5.2870 eV/atom

Cell lengths 4.8885, 12.4691, 9.5480 Å; angles 90.00, 90.00, 90.00 degrees
Space group Cmcm (No. 63)
One atom of each set of equivalent atoms:
Dy (0.0000, 0.1067, 0.2500) x4
Dy (0.0000, 0.3682, 0.0506) x8
Tl (0.0000, 0.2201, 0.7500) x4
S (0.0000, 0.0000, 0.0000) x4
S (0.0000, 0.4706, 0.7500) x4

=====

[9]
This record from Alexandria via LeMat-Bulk describes an optimized crystal structure of Sc2IrAu. The functional is PBE.

total magnetic moment = 0.0 μB/cell
energy relative to the elements = -0.869 eV per atom
ρ = 10.9 Mg/m³
VASP energy = -7.0689 eV/atom

Cell lengths 3.2130, 4.7604, 4.7597 Å; angles 90.00, 90.00, 90.00 degrees
Space group Pmm2 (No. 25)
One atom of each set of equivalent atoms:
Sc (0.0000, 0.0000, 0.0000) x1
Sc (0.0000, 0.5000, 0.4991) x1
Ir (0.5000, 0.0000, 0.5003) x1
Au (0.5000, 0.5000, 0.9987) x1

=====

[10]
This record from Alexandria via LeMat-Bulk describes an optimized crystal structure of La8Tl3Tc2. The functional is PBE.

total magnetic moment = 0.0 μB/cell
energy relative to the elements = -0.128 eV per atom
ρ = 8.1 Mg/m³
VASP energy = -5.3016 eV/atom

Cell lengths 8.2996, 4.6827, 10.9782 Å; angles 90.00, 112.10, 90.00 degrees
Space group P2/m (No. 10)
One atom of each set of equivalent atoms:
La (0.0114, 0.0000, 0.2268) x2
La (0.2436, 0.0000, 0.5709) x2
La (0.3212, 0.5000, 0.8634) x2
La (0.3679, 0.5000, 0.3209) x2
Tl (0.0000, 0.5000, 0.0000) x1
Tl (0.3574, 0.0000, 0.0972) x2
Tc (0.0651, 0.5000, 0.4171) x2

=====

[11]
This record from Alexandria via LeMat-Bulk describes an optimized crystal structure of AcNdY2. The functional is PBE.

total magnetic moment = 0.0 μB/cell
energy relative to the elements = 0.040 eV per atom
ρ = 6.4 Mg/m³
polymorph energy (0 for the lowest one) = 13 meV/atom
VASP energy = -5.4114 eV/atom

Cell lengths 5.2906, 5.2906, 5.1128 Å; angles 90.00, 90.00, 90.00 degrees
Space group P4/mmm (No. 123)
One atom of each set of equivalent atoms:
Ac (0.0000, 0.0000, 0.0000) x1
Nd (0.5000, 0.5000, 0.0000) x1
Y (0.0000, 0.5000, 0.5000) x2